The following is a GGA-PBEsol calculation of crystalline KZrNi2 at its relaxed geometry, from the Alexandria database.

Properties
The space group is No. 44. The energy of formation from the pure elements is 0.5547 eV per atom.

Lattice parameters (Å, degrees): 2.7318 4.9032 5.9526 114.32 103.27 90.00
With the nearest neighbours (Å) after each atom.
Atoms (fractional coordinates):
K  0.7362  0.2362  0.4723  2 K 2.73, 4 Ni 2.83
Ni  0.9579  0.9579  0.9157  2 Ni 2.41
Ni  0.2692  0.7692  0.5385  2 Ni 2.41
Zr  0.5367  0.5367  0.0735  2 Zr 2.73, 6 Ni 2.80-2.93